Entry 1:
A plane-wave DFT calculation with PBEsol was carried out for an optimized crystal structure of BeTlCl2.

a b c (Å): 6.9860 6.9860 6.9860
angles (deg): 90.00 90.00 90.00
Sites, in units of the cell vectors:
Be 0.0000 0.0000 0.0000
Be 0.0000 0.5000 0.5000
Be 0.5000 0.0000 0.5000
Be 0.5000 0.5000 0.0000
Tl 0.2500 0.2500 0.7500
Tl 0.2500 0.7500 0.2500
Tl 0.7500 0.2500 0.2500
Tl 0.7500 0.7500 0.7500
Cl 0.0000 0.0000 0.5000
Cl 0.0000 0.5000 0.0000
Cl 0.2500 0.2500 0.2500
Cl 0.2500 0.7500 0.7500
Cl 0.5000 0.0000 0.0000
Cl 0.5000 0.5000 0.5000
Cl 0.7500 0.2500 0.7500
Cl 0.7500 0.7500 0.2500

Calculated values
Symmetry: No. 216
Raw formation energy: 234 meV per atom
E_tot: -0.089 hartree per atom

Entry 2:
A plane-wave DFT calculation with PBEsol was carried out for an optimized crystal structure of Tc2HgAs.

a b c (Å): 6.3654 6.3654 6.3654
angles (deg): 90.00 90.00 90.00
Sites, in units of the cell vectors:
Tc 0.0000 0.0000 0.0000
Tc 0.0000 0.5000 0.5000
Tc 0.2500 0.2500 0.2500
Tc 0.2500 0.7500 0.7500
Tc 0.5000 0.0000 0.5000
Tc 0.5000 0.5000 0.0000
Tc 0.7500 0.2500 0.7500
Tc 0.7500 0.7500 0.2500
Hg 0.2500 0.2500 0.7500
Hg 0.2500 0.7500 0.2500
Hg 0.7500 0.2500 0.2500
Hg 0.7500 0.7500 0.7500
As 0.0000 0.0000 0.5000
As 0.0000 0.5000 0.0000
As 0.5000 0.0000 0.0000
As 0.5000 0.5000 0.5000

Calculated values
Symmetry: No. 216
Energy of formation from the pure elements: 2.50 eV/f.u.
E_tot: -0.236 hartree per atom

Entry 3:
A plane-wave DFT calculation with PBEsol was carried out for an optimized crystal structure of KZr2MoIr.

a b c (Å): 4.8795 4.8795 4.8257
angles (deg): 90.00 90.00 90.00
Sites, in units of the cell vectors:
K 0.0000 0.0000 0.0000
Zr 0.0000 0.5000 0.5000
Zr 0.5000 0.0000 0.5000
Mo 0.0000 0.0000 0.5000
Ir 0.5000 0.5000 0.0000

Calculated values
Symmetry: No. 123
Energy of formation from the pure elements: 7.83 eV/f.u.
E_tot: -0.243 hartree per atom

Entry 4:
A plane-wave DFT calculation with PBEsol was carried out for an optimized crystal structure of TaCrSb2.

a b c (Å): 6.7085 6.7085 6.7085
angles (deg): 90.00 90.00 90.00
Sites, in units of the cell vectors:
Ta 0.0000 0.0000 0.0000
Ta 0.0000 0.5000 0.5000
Ta 0.5000 0.0000 0.5000
Ta 0.5000 0.5000 0.0000
Cr 0.2500 0.2500 0.2500
Cr 0.2500 0.7500 0.7500
Cr 0.7500 0.2500 0.7500
Cr 0.7500 0.7500 0.2500
Sb 0.0000 0.0000 0.5000
Sb 0.0000 0.5000 0.0000
Sb 0.2500 0.2500 0.7500
Sb 0.2500 0.7500 0.2500
Sb 0.5000 0.0000 0.0000
Sb 0.5000 0.5000 0.5000
Sb 0.7500 0.2500 0.2500
Sb 0.7500 0.7500 0.7500

Calculated values
Distance to the lowest polymorph of the same formula: 1.37 eV/f.u.
Symmetry: No. 216
Raw formation energy: 617 meV per atom
E_tot: -0.270 hartree per atom

Entry 5:
A plane-wave DFT calculation with PBEsol was carried out for an optimized crystal structure of MgCrO4.

a b c (Å): 6.7507 6.7507 6.7519
angles (deg): 100.10 100.10 85.25
Sites, in units of the cell vectors:
Mg 0.1805 0.8195 0.0000
Mg 0.2046 0.2046 0.3642
Mg 0.7954 0.7954 0.6358
Mg 0.8195 0.1805 0.0000
Cr 0.2548 0.7452 0.5000
Cr 0.2754 0.2754 0.9122
Cr 0.7246 0.7246 0.0878
Cr 0.7452 0.2548 0.5000
O 0.1107 0.8001 0.6834
O 0.1423 0.1423 0.0376
O 0.1999 0.8893 0.3166
O 0.2142 0.2142 0.6673
O 0.2166 0.5122 0.9791
O 0.2206 0.5134 0.3956
O 0.4866 0.7794 0.6044
O 0.4878 0.7834 0.0209
O 0.5122 0.2166 0.9791
O 0.5134 0.2206 0.3956
O 0.7794 0.4866 0.6044
O 0.7834 0.4878 0.0209
O 0.7858 0.7858 0.3327
O 0.8001 0.1107 0.6834
O 0.8577 0.8577 0.9624
O 0.8893 0.1999 0.3166

Calculated values
Distance to the lowest polymorph of the same formula: 0.07 eV/f.u.
Symmetry: No. 12
Raw formation energy: -2117 meV per atom
E_tot: -0.280 hartree per atom

Entry 6:
A plane-wave DFT calculation with PBEsol was carried out for an optimized crystal structure of La2TeP.

a b c (Å): 5.2804 5.2804 3.7575
angles (deg): 90.00 90.00 90.00
Sites, in units of the cell vectors:
La 0.0000 0.5000 0.0000
La 0.5000 0.0000 0.0000
Te 0.0000 0.0000 0.5000
P 0.5000 0.5000 0.5000

Calculated values
Distance to the lowest polymorph of the same formula: 1.46 eV/f.u.
Symmetry: No. 123
Raw formation energy: -1288 meV per atom
E_tot: -0.231 hartree per atom

Entry 7:
A plane-wave DFT calculation with PBEsol was carried out for an optimized crystal structure of Cu2Au.

a b c (Å): 4.2913 4.2913 5.1032
angles (deg): 90.00 90.00 120.00
Sites, in units of the cell vectors:
Cu 0.0000 0.0000 0.0000
Cu 0.0000 0.0000 0.5000
Cu 0.3333 0.6667 0.2500
Cu 0.6667 0.3333 0.7500
Au 0.3333 0.6667 0.7500
Au 0.6667 0.3333 0.2500

Calculated values
Distance to the lowest polymorph of the same formula: 0.25 eV/f.u.
Symmetry: No. 194
Energy of formation from the pure elements: 0.14 eV/f.u.
E_tot: -0.153 hartree per atom

Entry 8:
A plane-wave DFT calculation with PBEsol was carried out for an optimized crystal structure of YHfNi3.

a b c (Å): 4.5513 4.5513 4.5513
angles (deg): 90.00 90.00 90.00
Sites, in units of the cell vectors:
Y 0.0000 0.0000 0.0000
Hf 0.5000 0.5000 0.5000
Ni 0.0000 0.5000 0.5000
Ni 0.5000 0.0000 0.5000
Ni 0.5000 0.5000 0.0000

Calculated values
Symmetry: No. 221
Energy of formation from the pure elements: 1.95 eV/f.u.
E_tot: -0.249 hartree per atom

Entry 9:
A plane-wave DFT calculation with PBEsol was carried out for an optimized crystal structure of Li3SbF.

a b c (Å): 4.1549 4.1549 4.1549
angles (deg): 90.00 90.00 90.00
Sites, in units of the cell vectors:
Li 0.0000 0.0000 0.5000
Li 0.0000 0.5000 0.0000
Li 0.5000 0.0000 0.0000
Sb 0.5000 0.5000 0.5000
F 0.0000 0.0000 0.0000

Calculated values
Distance to the lowest polymorph of the same formula: 0.00 eV/f.u.
Symmetry: No. 221
Raw formation energy: -1414 meV per atom
E_tot: -0.143 hartree per atom

Entry 10:
A plane-wave DFT calculation with PBEsol was carried out for an optimized crystal structure of ScNbPb2O6.

a b c (Å): 5.7475 5.7475 5.7475
angles (deg): 60.00 60.00 60.00
Sites, in units of the cell vectors:
Sc 0.0000 0.0000 0.0000
Nb 0.5000 0.5000 0.5000
Pb 0.2500 0.2500 0.2500
Pb 0.7500 0.7500 0.7500
O 0.2546 0.2546 0.7454
O 0.2546 0.7454 0.2546
O 0.2546 0.7454 0.7454
O 0.7454 0.2546 0.2546
O 0.7454 0.2546 0.7454
O 0.7454 0.7454 0.2546

Calculated values
Symmetry: No. 225
Raw formation energy: -2241 meV per atom
E_tot: -0.292 hartree per atom

Entry 11:
A plane-wave DFT calculation with PBEsol was carried out for an optimized crystal structure of Li3TiCu4O8.

a b c (Å): 6.0692 6.0692 5.5507
angles (deg): 115.00 115.00 55.63
Sites, in units of the cell vectors:
Li 0.0000 0.0000 0.0000
Li 0.0000 0.5000 0.5000
Li 0.5000 0.0000 0.5000
Ti 0.5000 0.5000 0.5000
Cu 0.0000 0.0000 0.5000
Cu 0.0000 0.5000 0.0000
Cu 0.5000 0.0000 0.0000
Cu 0.5000 0.5000 0.0000
O 0.2039 0.2039 0.7395
O 0.2381 0.7051 0.7284
O 0.2859 0.2859 0.2569
O 0.2949 0.7619 0.2716
O 0.7051 0.2381 0.7284
O 0.7141 0.7141 0.7431
O 0.7619 0.2949 0.2716
O 0.7961 0.7961 0.2605

Calculated values
Symmetry: No. 12
Raw formation energy: -1445 meV per atom
E_tot: -0.222 hartree per atom

Entry 12:
A plane-wave DFT calculation with PBEsol was carried out for an optimized crystal structure of TbMn2O5.

a b c (Å): 7.2142 8.4644 5.6577
angles (deg): 90.00 90.00 90.00
Sites, in units of the cell vectors:
Tb 0.1370 0.1721 0.0000
Tb 0.3630 0.6721 0.0000
Tb 0.6370 0.3279 0.0000
Tb 0.8630 0.8279 0.0000
Mn 0.0000 0.5000 0.2539
Mn 0.0000 0.5000 0.7461
Mn 0.0882 0.8498 0.5000
Mn 0.4118 0.3498 0.5000
Mn 0.5000 0.0000 0.2539
Mn 0.5000 0.0000 0.7461
Mn 0.5882 0.6502 0.5000
Mn 0.9118 0.1502 0.5000
O 0.0000 0.0000 0.2720
O 0.0000 0.0000 0.7280
O 0.1042 0.7075 0.2446
O 0.1042 0.7075 0.7554
O 0.1550 0.4350 0.5000
O 0.1648 0.4451 0.0000
O 0.3352 0.9451 0.0000
O 0.3450 0.9350 0.5000
O 0.3958 0.2075 0.2446
O 0.3958 0.2075 0.7554
O 0.5000 0.5000 0.2720
O 0.5000 0.5000 0.7280
O 0.6042 0.7925 0.2446
O 0.6042 0.7925 0.7554
O 0.6550 0.0650 0.5000
O 0.6648 0.0549 0.0000
O 0.8352 0.5549 0.0000
O 0.8450 0.5650 0.5000
O 0.8958 0.2925 0.2446
O 0.8958 0.2925 0.7554

Calculated values
Symmetry: No. 55
Raw formation energy: -2356 meV per atom
E_tot: -0.320 hartree per atom

Entry 13:
A plane-wave DFT calculation with PBEsol was carried out for an optimized crystal structure of BaZrRe2.

a b c (Å): 3.5515 3.5515 7.5350
angles (deg): 90.00 90.00 90.00
Sites, in units of the cell vectors:
Ba 0.0000 0.0000 0.0000
Zr 0.0000 0.0000 0.5000
Re 0.5000 0.5000 0.3418
Re 0.5000 0.5000 0.6582

Calculated values
Distance to the lowest polymorph of the same formula: 0.00 eV/f.u.
Symmetry: No. 123
Energy of formation from the pure elements: 2.78 eV/f.u.
E_tot: -0.323 hartree per atom

Entry 14:
A plane-wave DFT calculation with PBEsol was carried out for an optimized crystal structure of CaCdOs2.

a b c (Å): 2.8396 3.6313 7.3941
angles (deg): 90.00 90.00 90.00
Sites, in units of the cell vectors:
Ca 0.0000 0.0000 0.0000
Cd 0.5000 0.5000 0.3148
Os 0.0000 0.0000 0.5670
Os 0.5000 0.5000 0.7109

Calculated values
Symmetry: No. 25
Energy of formation from the pure elements: 1.23 eV/f.u.
E_tot: -0.244 hartree per atom

Entry 15:
A plane-wave DFT calculation with PBEsol was carried out for an optimized crystal structure of TiSiN2.

a b c (Å): 2.9527 2.9527 17.2266
angles (deg): 90.00 90.00 120.00
Sites, in units of the cell vectors:
Ti 0.0000 0.0000 0.0000
Ti 0.3333 0.6667 0.6667
Ti 0.6667 0.3333 0.3333
Si 0.0000 0.0000 0.5000
Si 0.3333 0.6667 0.1667
Si 0.6667 0.3333 0.8333
N 0.0000 0.0000 0.3987
N 0.0000 0.0000 0.6013
N 0.3333 0.6667 0.0653
N 0.3333 0.6667 0.2680
N 0.6667 0.3333 0.7320
N 0.6667 0.3333 0.9347

Calculated values
Symmetry: No. 166
Raw formation energy: -941 meV per atom
E_tot: -0.321 hartree per atom

Entry 16:
A plane-wave DFT calculation with PBEsol was carried out for an optimized crystal structure of KHg2As.

a b c (Å): 7.2794 7.2794 7.2794
angles (deg): 90.00 90.00 90.00
Sites, in units of the cell vectors:
K 0.0000 0.0000 0.0000
K 0.0000 0.5000 0.5000
K 0.5000 0.0000 0.5000
K 0.5000 0.5000 0.0000
Hg 0.0000 0.0000 0.5000
Hg 0.0000 0.5000 0.0000
Hg 0.2500 0.2500 0.7500
Hg 0.2500 0.7500 0.2500
Hg 0.5000 0.0000 0.0000
Hg 0.5000 0.5000 0.5000
Hg 0.7500 0.2500 0.2500
Hg 0.7500 0.7500 0.7500
As 0.2500 0.2500 0.2500
As 0.2500 0.7500 0.7500
As 0.7500 0.2500 0.7500
As 0.7500 0.7500 0.2500

Calculated values
Symmetry: No. 216
Energy of formation from the pure elements: -0.02 eV/f.u.
E_tot: -0.068 hartree per atom

Entry 17:
A plane-wave DFT calculation with PBEsol was carried out for an optimized crystal structure of MgIr2Ru.

a b c (Å): 3.8279 3.8279 7.7319
angles (deg): 90.00 90.00 90.00
Sites, in units of the cell vectors:
Mg 0.0000 0.0000 0.0000
Mg 0.5000 0.5000 0.5000
Ir 0.0000 0.5000 0.2500
Ir 0.0000 0.5000 0.7500
Ir 0.5000 0.0000 0.2500
Ir 0.5000 0.0000 0.7500
Ru 0.0000 0.0000 0.5000
Ru 0.5000 0.5000 0.0000

Calculated values
Symmetry: No. 139
Energy of formation from the pure elements: -0.06 eV/f.u.
E_tot: -0.290 hartree per atom

Entry 18:
A plane-wave DFT calculation with PBEsol was carried out for an optimized crystal structure of HgPtN2F.

a b c (Å): 3.6868 3.6868 5.9553
angles (deg): 90.00 90.00 90.00
Sites, in units of the cell vectors:
Hg 0.0000 0.0000 0.0000
Pt 0.5000 0.5000 0.5000
N 0.0000 0.5000 0.5000
N 0.5000 0.0000 0.5000
F 0.5000 0.5000 0.0000

Calculated values
Symmetry: No. 123
Raw formation energy: 663 meV per atom
E_tot: -0.170 hartree per atom

Entry 19:
A plane-wave DFT calculation with PBEsol was carried out for an optimized crystal structure of Li3GaCl.

a b c (Å): 4.5478 4.5478 4.5478
angles (deg): 90.00 90.00 90.00
Sites, in units of the cell vectors:
Li 0.0000 0.0000 0.5000
Li 0.0000 0.5000 0.0000
Li 0.5000 0.0000 0.0000
Ga 0.5000 0.5000 0.5000
Cl 0.0000 0.0000 0.0000

Calculated values
Distance to the lowest polymorph of the same formula: 0.00 eV/f.u.
Symmetry: No. 221
Raw formation energy: -563 meV per atom
E_tot: -0.103 hartree per atom

Entry 20:
A plane-wave DFT calculation with PBEsol was carried out for an optimized crystal structure of BaCoAu3.

a b c (Å): 4.8675 4.8675 4.8675
angles (deg): 90.00 90.00 90.00
Sites, in units of the cell vectors:
Ba 0.0000 0.0000 0.0000
Co 0.5000 0.5000 0.5000
Au 0.0000 0.5000 0.5000
Au 0.5000 0.0000 0.5000
Au 0.5000 0.5000 0.0000

Calculated values
Symmetry: No. 221
Energy of formation from the pure elements: -0.29 eV/f.u.
E_tot: -0.161 hartree per atom